ZrFeOs2, optimized geometry, DFT GGA-PBEsol; calculated density = 14618 kg/m³; offset from the most stable computed form = 28.0 meV per atom
1.0
2.746 0.000 0.013
0.000 4.322 0.000
-0.831 0.000 5.045
Fe Os Zr
1 2 1
Direct
0.000 0.500 0.500
0.803 0.000 0.723
0.197 0.000 0.277
0.500 0.500 0.000